1.
First-principles (GGA-PBE) data for a relaxed structure of Ti3PtO, as listed in Alexandria.

a = 10.5396 Å, b = 9.1607 Å, c = 6.1580 Å
α = 90.00°, β = 106.79°, γ = 90.00°
With the nearest neighbours (Å) after each atom.
Space group C2/c (No. 15)
Asymmetric unit:
Ti: 0.1477 0.1759 0.0517 (multiplicity 8)  2 O 2.05-2.07
Ti: 0.1614 0.1776 0.5915 (multiplicity 8)  1 O 2.09
Ti: 0.1617 0.4974 0.5847 (multiplicity 8)  2 O 2.10-2.17
Pt: 0.0000 0.0112 0.2500 (multiplicity 4)  8 Ti 2.67-2.79, 1 Pt 2.94
Pt: 0.0000 0.3318 0.2500 (multiplicity 4)  8 Ti 2.66-2.72, 1 Pt 2.94
O: 0.1480 0.3390 0.8232 (multiplicity 8)  5 Ti 2.05-2.17

Summary:
For the density of states at the Fermi level, the calculation gives 29.0 states/eV/cell. As for the uncorrected formation energy: -1370 meV/atom.

2.
First-principles (GGA-PBE) data for a relaxed structure of K2RbBaHg, as listed in Alexandria.

a = 6.9495 Å, b = 6.9495 Å, c = 6.6883 Å
α = 90.00°, β = 90.00°, γ = 90.00°
With the nearest neighbours (Å) after each atom.
Space group P4/mmm (No. 123)
Asymmetric unit:
K: 0.0000 0.5000 0.0000 (multiplicity 2)  2 Hg 3.47
Rb: 0.0000 0.0000 0.5000 (multiplicity 1)  8 K 4.82, 4 Ba 4.91
Ba: 0.5000 0.5000 0.5000 (multiplicity 1)  2 Hg 3.34
Hg: 0.5000 0.5000 0.0000 (multiplicity 1)  2 Ba 3.34, 4 K 3.47

Summary:
For the density of states at the Fermi level, the calculation gives 4.3 states/eV/cell. The formation energy is -0.07 eV per atom.

3.
First-principles (GGA-PBE) data for a relaxed structure of InSiTe2I, as listed in Alexandria.

a = 5.7026 Å, b = 5.7026 Å, c = 5.7373 Å
α = 90.00°, β = 90.00°, γ = 90.00°
With the nearest neighbours (Å) after each atom.
Space group P4/mmm (No. 123)
Asymmetric unit:
In: 0.0000 0.0000 0.0000 (multiplicity 1)  4 Te 2.85, 2 I 2.87
Si: 0.5000 0.5000 0.5000 (multiplicity 1)  4 I 4.03, 8 Te 4.04
Te: 0.0000 0.5000 0.0000 (multiplicity 2)  2 In 2.85
I: 0.0000 0.0000 0.5000 (multiplicity 1)  2 In 2.87

Summary:
The value obtained for the relative energy among the computed polymorphs is 2.86 eV/f.u. For the density of states at the Fermi level, the calculation gives 3.6 states/eV/cell. As for the uncorrected formation energy: 713 meV/atom.

4.
First-principles (GGA-PBE) data for a relaxed structure of K2TcBr2F4, as listed in Alexandria.

a = 12.9177 Å, b = 6.1126 Å, c = 5.2427 Å
α = 90.00°, β = 92.17°, γ = 90.00°
With the nearest neighbours (Å) after each atom.
Space group C2/m (No. 12)
Asymmetric unit:
K: 0.1246 0.0000 0.1317 (multiplicity 4)  4 F 2.77-2.80
Tc: 0.0000 0.5000 0.5000 (multiplicity 2)  4 F 1.97
Br: 0.1838 0.5000 0.3394 (multiplicity 4)  1 Tc 2.55
F: 0.0401 0.2642 0.7404 (multiplicity 8)  1 Tc 1.97

Summary:
As for the uncorrected formation energy: -2011 meV/atom.

5.
First-principles (GGA-PBE) data for a relaxed structure of TcAgRh, as listed in Alexandria.

a = 2.8012 Å, b = 4.6500 Å, c = 14.4542 Å
α = 90.00°, β = 90.00°, γ = 90.00°
With the nearest neighbours (Å) after each atom.
Space group Fmm2 (No. 42)
Asymmetric unit:
Tc: 0.0000 0.0000 0.0000 (multiplicity 4)  2 Rh 2.59, 6 Tc 2.71-2.80, 2 Ag 2.90
Ag: 0.0000 0.0000 0.6756 (multiplicity 4)  6 Ag 2.71-2.80, 2 Rh 2.87, 2 Tc 2.90
Rh: 0.0000 0.0000 0.3491 (multiplicity 4)  2 Tc 2.59, 6 Rh 2.71-2.80, 2 Ag 2.87

Summary:
The value obtained for the relative energy among the computed polymorphs is 0.45 eV/f.u. For the density of states at the Fermi level, the calculation gives 9.0 states/eV/cell. The formation energy is 0.33 eV per atom.

6.
First-principles (GGA-PBE) data for a relaxed structure of AsRh4, as listed in Alexandria.

a = 5.5591 Å, b = 5.5591 Å, c = 5.5591 Å
α = 90.00°, β = 90.00°, γ = 90.00°
With the nearest neighbours (Å) after each atom.
Space group Im-3m (No. 229)
Asymmetric unit:
As: 0.0000 0.0000 0.0000 (multiplicity 2)  8 Rh 2.41
Rh: 0.2500 0.2500 0.2500 (multiplicity 8)  2 As 2.41

Summary:
The value obtained for the relative energy among the computed polymorphs is 2.06 eV/f.u. For the density of states at the Fermi level, the calculation gives 17.4 states/eV/cell. The formation energy is 0.34 eV per atom.

7.
First-principles (GGA-PBE) data for a relaxed structure of CaCeAgRh, as listed in Alexandria.

a = 7.1538 Å, b = 7.1538 Å, c = 7.1538 Å
α = 90.00°, β = 90.00°, γ = 90.00°
With the nearest neighbours (Å) after each atom.
Space group F-43m (No. 216)
Asymmetric unit:
Ca: 0.0000 0.0000 0.0000 (multiplicity 4)  4 Rh 3.10, 4 Ag 3.10
Ce: 0.0000 0.0000 0.5000 (multiplicity 4)  4 Rh 3.10, 4 Ag 3.10
Ag: 0.2500 0.2500 0.2500 (multiplicity 4)  4 Ce 3.10, 4 Ca 3.10
Rh: 0.2500 0.2500 0.7500 (multiplicity 4)  4 Ce 3.10, 4 Ca 3.10

Summary:
For the density of states at the Fermi level, the calculation gives 31.7 states/eV/cell. The formation energy is -0.33 eV per atom.

8.
First-principles (GGA-PBE) data for a relaxed structure of Sc3TaIn, as listed in Alexandria.

a = 5.1304 Å, b = 5.1304 Å, c = 5.1304 Å
α = 90.00°, β = 90.00°, γ = 90.00°
With the nearest neighbours (Å) after each atom.
Space group Pm-3m (No. 221)
Asymmetric unit:
Sc: 0.0000 0.0000 0.5000 (multiplicity 3)  2 Ta 2.57
Ta: 0.0000 0.0000 0.0000 (multiplicity 1)  6 Sc 2.57
In: 0.5000 0.5000 0.5000 (multiplicity 1)  12 Sc 3.63

Summary:
The value obtained for the relative energy among the computed polymorphs is 0.00 eV/f.u. For the density of states at the Fermi level, the calculation gives 6.9 states/eV/cell. The formation energy is 0.61 eV per atom.

Number 1: E -332.281 eV per cell. Number 2: E -5.748 eV per cell. Number 3: E -12.428 eV per cell. Number 4: E -82.983 eV per cell. Number 5: E -78.284 eV per cell. Number 6: E -64.703 eV per cell. Number 7: E -77.829 eV per cell. Number 8: E -30.557 eV per cell.